Record 1
{"formula": "ZnAg", "functional": "meta-GGA SCAN", "state": "single point on PBEsol structure", "cell": [[-1.953, -1.757, -1.098], [2.322, -1.062, 1.260], [-4.214, -0.110, 7.670]], "species": ["Ag", "Ag", "Zn", "Zn"], "frac_coords": [[0.333, 0.667, 0.865], [0.667, 0.333, 0.135], [0.333, 0.667, 0.381], [0.667, 0.333, 0.619]], "m_tot_mub_per_cell": 0.00, "sg": "P-3m1", "delta_e_f_ev_per_atom": -0.010}

***

Record 2
{"formula": "ZnAg4", "functional": "meta-GGA SCAN", "state": "single point on PBEsol structure", "cell": [[-2.330, -0.580, -3.235], [-2.855, -3.961, 0.258], [-4.383, 2.152, 0.263]], "species": ["Ag", "Ag", "Ag", "Ag", "Zn"], "frac_coords": [[0.202, 0.195, 0.401], [0.603, 0.599, 0.195], [0.397, 0.401, 0.805], [0.798, 0.805, 0.599], [0.000, 0.000, 0.000]], "m_tot_mub_per_cell": 0.00, "sg": "I4/m", "delta_e_f_ev_per_atom": -0.002}

***

Record 3
{"formula": "ZnAg3", "functional": "meta-GGA SCAN", "state": "single point on PBEsol structure", "cell": [[-2.006, -2.056, 0.000], [2.425, -0.360, 1.496], [-3.841, 3.749, 7.126]], "species": ["Ag", "Ag", "Ag", "Zn"], "frac_coords": [[0.333, 0.667, 0.739], [0.333, 0.667, 0.261], [0.000, 0.000, 0.000], [0.000, 0.000, 0.500]], "m_tot_mub_per_cell": 0.00, "sg": "P-6m2", "delta_e_f_ev_per_atom": 0.000}

***

Record 4
{"formula": "ZnAg2", "functional": "meta-GGA SCAN", "state": "single point on PBEsol structure", "cell": [[-5.246, -4.345, 4.488], [-4.825, -5.522, -3.573], [1.301, -7.958, 1.230]], "species": ["Ag", "Ag", "Ag", "Ag", "Ag", "Ag", "Ag", "Ag", "Ag", "Ag", "Ag", "Ag", "Ag", "Ag", "Ag", "Ag", "Zn", "Zn", "Zn", "Zn", "Zn", "Zn", "Zn", "Zn"], "frac_coords": [[0.065, 0.435, 0.435], [0.065, 0.435, 0.065], [0.625, 0.625, 0.125], [0.815, 0.185, 0.815], [0.435, 0.435, 0.065], [0.815, 0.815, 0.185], [0.185, 0.185, 0.815], [0.815, 0.185, 0.185], [0.435, 0.065, 0.065], [0.185, 0.815, 0.185], [0.625, 0.625, 0.625], [0.065, 0.065, 0.435], [0.185, 0.815, 0.815], [0.125, 0.625, 0.625], [0.625, 0.125, 0.625], [0.435, 0.065, 0.435], [0.476, 0.841, 0.841], [0.409, 0.409, 0.774], [0.841, 0.841, 0.476], [0.409, 0.409, 0.409], [0.774, 0.409, 0.409], [0.841, 0.476, 0.841], [0.409, 0.774, 0.409], [0.841, 0.841, 0.841]], "m_tot_mub_per_cell": 0.00, "sg": "Fd-3m", "delta_e_f_ev_per_atom": 0.034}